CsS2Cl, relaxed, DFT PBE; ρ = 3.2 g/cm³; volume = 121.46 Å³ per cell; space-group type = No. 166; formation energy without anion corrections = -0.036 eV/atom; energy above the most stable polymorph in this dataset = 0 meV per atom; magnetization = 0.000 μB per atom
1.0
2.7635 0.0000 6.1216
-1.3817 2.3932 6.1216
-1.3817 -2.3932 6.1216
Cl S Cs
1 2 1
direct
0.5000 0.5000 0.5000
0.1784 0.1784 0.1784
0.8216 0.8216 0.8216
0.0000 0.0000 0.0000